# 1
! AsRu2F, relaxed, DFT PBE; values from VASP
! formation energy from raw total energies: 156.1 meV per atom
! E above lowest polymorph: 296.0 meV/atom
! volume: 116 Å³/cell
! SG: No. 122
&SYSTEM
  ibrav = 0, nat = 8, ntyp = 3
/
ATOMIC_SPECIES
As 74.92 As.upf
F 19.00 F.upf
Ru 101.07 Ru.upf
ATOMIC_POSITIONS crystal
As 0.750 0.250 0.500
F 0.250 0.750 0.500
As 0.000 0.000 0.000
F 0.500 0.500 0.000
Ru 0.615 0.125 0.250
Ru 0.135 0.625 0.250
Ru 0.875 0.865 0.750
Ru 0.375 0.385 0.750
CELL_PARAMETERS angstrom
-5.659 -0.713 2.894
2.935 -0.247 5.678
-1.593 2.338 4.528

***

# 2
! MgInW2, relaxed, DFT PBE; values from VASP
! E above lowest polymorph: 206.5 meV/atom
! energy of formation from the pure elements: 0.507 eV/atom
! volume: 71 Å³/cell
! SG: No. 8
&SYSTEM
  ibrav = 0, nat = 4, ntyp = 3
/
ATOMIC_SPECIES
In 114.82 In.upf
W 183.84 W.upf
Mg 24.30 Mg.upf
ATOMIC_POSITIONS crystal
In 0.497 0.497 0.490
W 0.753 0.753 0.772
W 0.000 0.000 0.984
Mg 0.250 0.250 0.254
CELL_PARAMETERS angstrom
-3.761 -2.923 1.484
-1.860 -2.978 3.545
-2.624 3.904 2.526